BaTeS3O2: optimized geometry, PBE-GGA.

Cell and atoms, written as POSCAR:
```
BaTeS3O2
1.0
-6.3005 -1.8014 4.6302
-0.7612 -5.3686 -3.1244
8.4846 -6.4595 9.0324
Ba Te S O
4 4 12 8
Cartesian
2.0100 -8.3153 2.9762
-4.8293 -2.0844 3.0458
-0.5870 -5.3142 7.5620
-2.2323 -5.0856 -1.5400
-0.1215 -9.4372 9.5816
1.5445 -4.1923 0.9566
-1.6539 -5.4327 3.0739
3.0769 -8.1968 7.4643
3.9736 -6.3491 4.9243
-4.9200 -5.4766 3.0916
0.7514 -5.3089 3.9220
3.0409 -10.1244 9.1385
-2.5506 -7.2804 5.6139
6.3430 -8.1529 7.4466
0.6716 -8.3206 6.6162
-1.6179 -3.5051 1.3997
4.0404 -9.4778 5.6431
-2.6174 -4.1517 4.8951
0.1210 -6.1557 0.8896
1.3020 -7.4738 9.6486
7.4000 -7.2133 8.1692
-2.7887 -8.8435 5.7631
-2.3598 -2.2221 1.9706
0.5945 -8.9800 5.1735
-5.9770 -6.4162 2.3690
4.2117 -4.7860 4.7750
3.7828 -11.4074 8.5676
0.8285 -4.6495 5.3647
```

Computed properties:
- Size of the total moment: 0.0 μB/f.u.
- Crystal system: orthorhombic
- Formation energy from raw total energies: -95.7 kJ per mole of atoms
- Total energy: -137.2 eV per cell

Ba2ThS2O2: optimized geometry, PBE-GGA.

Cell and atoms, written as POSCAR:
```
Ba2ThS2O2
1.0
-1.2966 -2.0880 3.8523
-0.3057 -3.9646 -2.2517
8.8563 1.3740 1.0153
Ba Th S O
2 1 2 2
Cartesian
5.7591 -1.1813 1.2981
1.4949 -3.4972 1.3179
0.0000 0.0000 0.0000
2.7401 -0.5621 0.6176
4.5139 -4.1165 1.9983
-0.1528 -1.9823 -1.1258
-0.6483 -1.0440 1.9262
```

Computed properties:
- Size of the total moment: 0.0 μB/f.u.
- Crystal system: tetragonal
- Formation energy from raw total energies: -262.2 kJ per mole of atoms
- Total energy: -48.5 eV per cell

BaThS2O8: optimized geometry, PBE-GGA.

Cell and atoms, written as POSCAR:
```
BaThS2O8
1.0
-4.2479 -2.8728 -0.4845
0.3176 -5.1338 0.2750
-2.4400 -2.3191 7.7638
Ba Th S O
1 1 2 8
Cartesian
-3.1852 -5.1629 3.7772
0.0000 0.0000 0.0000
-1.5768 -2.5863 1.7793
-4.7935 -7.7394 5.7750
-1.7886 -2.5208 3.2478
-2.3503 -3.7243 1.1873
-4.5817 -7.8050 4.3065
-4.3737 -5.6604 0.9819
-1.9966 -4.6653 6.5724
-1.7120 -6.4504 1.4011
-4.6584 -3.8754 6.1532
-4.0200 -6.6014 6.3670
```

Computed properties:
- Size of the total moment: 1.9 μB/f.u.
- Crystal system: trigonal
- Formation energy from raw total energies: -173.7 kJ per mole of atoms
- Total energy: -78.9 eV per cell

BaThSO2: optimized geometry, PBE-GGA.

Cell and atoms, written as POSCAR:
```
BaThSO2
1.0
-1.4338 3.9639 1.3748
-3.4335 -0.2735 -2.7920
-3.2777 -2.6743 4.2924
Ba Th S O
1 1 1 2
Cartesian
-4.5155 0.1467 2.0175
-0.0512 -0.0417 0.0670
-5.0259 -1.5729 -0.7065
-4.7706 -2.6285 2.6033
-7.2042 -0.7833 1.8949
```

Computed properties:
- Size of the total moment: 0.0 μB/f.u.
- Crystal system: tetragonal
- Formation energy from raw total energies: -290.1 kJ per mole of atoms
- Total energy: -38.4 eV per cell

BaTiSO2: optimized geometry, PBE-GGA.

Cell and atoms, written as POSCAR:
```
BaTiSO2
1.0
-0.2231 -3.7710 -0.2091
1.5397 1.4561 6.3251
-7.1923 0.3326 1.6743
Ba Ti S O
2 2 2 4
Cartesian
-4.8533 -1.8323 3.9930
-1.0224 -0.1501 3.7973
0.0000 0.0000 0.0000
-3.5962 0.1663 0.8371
-4.0672 -0.1496 7.0355
-1.8084 -1.8328 0.7547
-6.5017 0.1986 3.3526
0.6260 -2.1810 4.4377
-3.4852 0.0592 2.6504
-2.3905 -2.0416 5.1399
```

Computed properties:
- Size of the total moment: 0.0 μB/f.u.
- Crystal system: orthorhombic
- Formation energy from raw total energies: -227.4 kJ per mole of atoms
- Total energy: -71.3 eV per cell

Ba2TiSO3: optimized geometry, PBE-GGA.

Cell and atoms, written as POSCAR:
```
Ba2TiSO3
1.0
4.7716 0.0000 0.0000
0.0000 4.0482 0.0000
-2.3858 -2.0241 6.8006
Ba Ti S O
2 1 1 3
Cartesian
2.3858 2.0241 2.1314
0.0000 0.0000 4.6692
0.0000 0.0000 0.0000
2.3858 0.0000 0.0000
0.0000 2.0241 0.0000
0.0000 0.0000 2.0084
2.3858 2.0241 4.7922
```

Computed properties:
- Size of the total moment: 0.0 μB/f.u.
- Crystal system: orthorhombic
- Formation energy from raw total energies: -231.7 kJ per mole of atoms
- Total energy: -47.6 eV per cell

BaTiSO2: optimized geometry, PBE-GGA.

Cell and atoms, written as POSCAR:
```
BaTiSO2
1.0
3.9886 0.0000 0.0000
0.0000 3.9886 0.0000
0.0000 0.0000 10.4714
S Ba O Ti
1 1 2 1
Cartesian
1.9943 1.9943 5.2357
0.0000 0.0000 5.2357
0.0000 1.9943 0.0000
1.9943 0.0000 0.0000
0.0000 0.0000 0.0000
```

Computed properties:
- Size of the total moment: 0.0 μB/f.u.
- Crystal system: tetragonal
- Formation energy from raw total energies: -157.7 kJ per mole of atoms
- Total energy: -32.0 eV per cell

Ba6Ti5S15O: optimized geometry, PBE-GGA.

Cell and atoms, written as POSCAR:
```
Ba6Ti5S15O
1.0
-4.6392 2.0057 -6.9628
5.2289 -6.5415 1.9731
-18.6786 -12.2404 8.9194
Ba Ti S O
12 10 30 2
Cartesian
-6.8215 -4.3657 0.5993
-13.9568 -14.1729 4.6146
-1.8716 -3.8832 1.4089
-7.4007 -8.5141 4.0876
-3.8716 -4.6070 -2.8892
-19.3668 -13.9494 3.9864
1.5109 -4.6188 -2.0280
-11.5279 -10.4068 5.5347
-13.0188 -10.7970 0.9935
-16.5630 -10.2341 5.4458
-10.9211 -6.4701 1.8135
-4.7244 -8.6381 0.0113
-2.8888 -1.1543 -1.4988
-17.0300 -10.9074 1.5417
-15.2124 -7.8193 2.4883
0.1001 -0.7698 -0.8469
-15.5063 -13.2662 8.0200
-9.3958 -11.8182 2.6569
-8.3869 -7.3137 -1.3186
-8.8497 -9.8862 0.3169
-0.8317 -7.6169 0.4649
-3.1038 -7.2088 3.3644
-7.2499 -10.9776 1.7832
-14.0233 -14.9880 7.7731
-18.8171 -10.7504 3.1575
-19.9559 -11.7730 6.5001
0.7024 -5.8281 0.9898
-15.5768 -12.1976 2.7317
-10.5237 -7.3853 5.0269
-2.2650 -6.4794 -0.8930
-1.2181 -2.8198 -1.7299
1.5140 -2.2886 0.4159
-9.2996 -5.2182 -1.3440
-8.7383 -11.9504 4.8421
-11.3155 -13.5257 6.3667
-16.5738 -15.7975 3.6619
-6.1807 -6.5992 -1.9410
-11.5719 -12.7635 3.0254
-4.2799 -9.3077 3.1637
-0.9823 -5.0770 -4.2407
-4.5093 -5.8875 2.1517
-7.7978 -7.6055 0.9588
-6.7734 -3.2505 -2.4369
-13.8267 -8.9880 3.8690
-10.4861 -8.5131 -0.8396
-8.0980 -5.2926 3.4112
-4.1166 -1.3959 -3.4117
-14.1267 -11.6309 6.9301
-16.9276 -13.5197 6.1400
-10.2343 -9.6074 2.4906
-13.7833 -7.6663 0.5485
-4.2984 -2.5588 -0.1551
-16.2509 -9.2510 1.8976
-1.8380 -7.5252 2.0322
```

Computed properties:
- Size of the total moment: 0.0 μB/f.u.
- Crystal system: orthorhombic
- Formation energy from raw total energies: -173.9 kJ per mole of atoms
- Total energy: -333.1 eV per cell

Ba3U2S2O5: optimized geometry, PBE-GGA.

Cell and atoms, written as POSCAR:
```
Ba3U2S2O5
1.0
4.4593 0.0000 0.0000
0.0000 4.4593 0.0000
-2.2297 -2.2297 12.8615
Ba U S O
3 2 2 5
Cartesian
0.0000 0.0000 4.6783
2.2297 2.2297 8.1833
0.0000 0.0000 0.0000
0.0000 0.0000 10.6643
2.2297 2.2297 2.1972
2.2297 2.2297 5.0218
0.0000 0.0000 7.8397
2.2297 0.0000 2.1070
0.0000 2.2297 10.7545
0.0000 2.2297 2.1070
2.2297 0.0000 10.7545
2.2297 2.2297 0.0000
```

Computed properties:
- Size of the total moment: 4.0 μB/f.u.
- Crystal system: tetragonal
- Formation energy from raw total energies: -262.6 kJ per mole of atoms
- Total energy: -94.1 eV per cell

BaUS2O: optimized geometry, PBE-GGA.

Cell and atoms, written as POSCAR:
```
BaUS2O
1.0
5.4097 0.0000 0.0000
0.0000 5.4097 0.0000
0.0000 0.0002 4.2308
Ba U S O
1 1 2 1
Cartesian
2.7048 2.7051 2.1157
0.0000 0.0002 4.2305
0.0000 2.7048 0.0001
2.7048 5.4096 0.0000
0.0000 5.4097 2.1151
```

Computed properties:
- Size of the total moment: 2.0 μB/f.u.
- Crystal system: tetragonal
- Formation energy from raw total energies: -212.7 kJ per mole of atoms
- Total energy: -37.4 eV per cell

BaUSO2: optimized geometry, PBE-GGA.

Cell and atoms, written as POSCAR:
```
BaUSO2
1.0
4.3741 0.0000 0.0000
0.0000 4.3741 0.0000
0.0000 0.0002 5.7343
Ba U S O
1 1 1 2
Cartesian
2.1871 2.1873 3.5550
0.0000 0.0000 0.0305
0.0000 4.3741 2.7935
0.0000 2.1872 5.4120
2.1871 4.3742 5.4120
```

Computed properties:
- Size of the total moment: 2.0 μB/f.u.
- Crystal system: tetragonal
- Formation energy from raw total energies: -256.1 kJ per mole of atoms
- Total energy: -40.5 eV per cell

BaUS2O8: optimized geometry, PBE-GGA.

Cell and atoms, written as POSCAR:
```
BaUS2O8
1.0
-3.0822 5.0710 1.2698
-2.5222 -4.2965 -3.4650
-2.7732 -3.1778 5.9591
Ba U S O
1 1 2 8
Cartesian
-1.3866 -1.5889 2.9796
0.0000 0.0000 0.0000
-4.8986 -3.6832 2.8186
-3.4790 1.2799 0.9454
-3.5264 -3.1448 3.9989
-4.8775 -5.4464 2.1428
-6.5286 -2.7299 2.8230
-1.8490 0.3265 0.9410
-4.0368 0.6407 2.1440
-4.3407 -3.0440 1.6200
-4.8512 0.7414 -0.2349
-3.5001 3.0431 1.6212
```

Computed properties:
- Size of the total moment: 0.0 μB/f.u.
- Crystal system: trigonal
- Formation energy from raw total energies: -175.6 kJ per mole of atoms
- Total energy: -83.0 eV per cell